Computed, not measured: an optimized crystal structure of MgTc2Hg at the PBE level of DFT.

a b c (Å): 9.800 3.115 4.564
angles (deg): 90.00 102.71 90.00
Space group C2/m (No. 12)
One atom of each set of equivalent atoms:
Mg 0.000 0.000 0.000 (multiplicity 2)
Tc 0.250 0.000 0.785 (multiplicity 4)
Hg 0.000 0.500 0.500 (multiplicity 2)

## Properties
D(E_F) = 6.54 states/eV per cell
Calculated density = 10.28 Mg/m³
DFT formation energy = 36.45 kJ/mol of atoms
Energy above the most stable polymorph in this dataset = 0.312 eV per atom
Total moment = 0.0 μB per cell